This record from the Alexandria database describes a geometry-optimized V12Sn3Ru structure. The functional is PBE.

VASP energy = -8.281 eV/atom
DFT formation energy = -0.11 eV per atom

a = 4.9042 Å, b = 4.9106 Å, c = 9.8595 Å
α = 90.00°, β = 90.00°, γ = 90.00°
Positions (direct):
V 0.0000 0.0000 0.1152
V 0.0000 0.0000 0.3698
V 0.0000 0.0000 0.6302
V 0.0000 0.0000 0.8848
V 0.2415 0.5000 0.2387
V 0.2415 0.5000 0.7613
V 0.5000 0.2418 0.5000
V 0.5000 0.2589 0.0000
V 0.5000 0.7411 0.0000
V 0.5000 0.7582 0.5000
V 0.7585 0.5000 0.2387
V 0.7585 0.5000 0.7613
Sn 0.0000 0.5000 0.5000
Sn 0.5000 0.0000 0.2493
Sn 0.5000 0.0000 0.7507
Ru 0.0000 0.5000 0.0000